# 1
# DyCoSn2 | Alexandria via LeMat-Bulk | PBE-GGA | optimized geometry
data_DyCoSn2
_cell_length_a 4.4378
_cell_length_b 9.3538
_cell_length_c 9.8413
_cell_angle_alpha 118.37
_cell_angle_beta 103.03
_cell_angle_gamma 90.00
_space_group_name_H-M_alt 'P 1'
_space_group_IT_number 1
loop_
_space_group_symop_operation_xyz
'x,y,z'
loop_
_atom_site_label
_atom_site_type_symbol
_atom_site_fract_x
_atom_site_fract_y
_atom_site_fract_z
_atom_site_occupancy
Co1 Co 0.1455 0.3975 0.2910 1
Co2 Co 0.8545 0.1066 0.7090 1
Co3 Co 0.1455 0.8934 0.2910 1
Co4 Co 0.8545 0.6025 0.7090 1
Dy1 Dy 0.5000 0.2700 0.0000 1
Dy2 Dy 0.7091 0.7091 0.4181 1
Dy3 Dy 0.2909 0.2909 0.5819 1
Dy4 Dy 0.5000 0.7300 0.0000 1
Sn1 Sn 0.3025 0.9682 0.6049 1
Sn2 Sn 0.6975 0.3633 0.3951 1
Sn3 Sn 0.0834 0.5834 0.1667 1
Sn4 Sn 0.6975 0.0318 0.3951 1
Sn5 Sn 0.9166 0.4166 0.8333 1
Sn6 Sn 0.0860 0.0860 0.1720 1
Sn7 Sn 0.9140 0.9140 0.8280 1
Sn8 Sn 0.3025 0.6367 0.6049 1
# **Formation energy from the elements**: -10.17 kcal/mol of atoms

***

# 2
# Y2ErTm | Alexandria via LeMat-Bulk | PBE-GGA | optimized geometry
data_Y2ErTm
_cell_length_a 3.6139
_cell_length_b 6.6697
_cell_length_c 6.6679
_cell_angle_alpha 124.10
_cell_angle_beta 105.73
_cell_angle_gamma 74.27
_space_group_name_H-M_alt 'P 1'
_space_group_IT_number 1
loop_
_space_group_symop_operation_xyz
'x,y,z'
loop_
_atom_site_label
_atom_site_type_symbol
_atom_site_fract_x
_atom_site_fract_y
_atom_site_fract_z
_atom_site_occupancy
Y1 Y 0.1238 0.0927 0.4562 1
Y2 Y 0.8764 0.6748 0.5439 1
Tm1 Tm 0.6263 0.5922 0.9607 1
Er1 Er 0.3735 0.1763 0.0392 1
# **Distance to the lowest polymorph of the same formula**: 0.0 kJ/mol of atoms
# **Formation energy from the elements**: 0.01 kcal/mol of atoms